The following is a DFT calculation (PBE-GGA) of SmThTeS after structural relaxation.

a b c (Å): 4.064 4.059 7.945
angles (deg): 90.00 104.87 119.95
Sites, in units of the cell vectors:
1 Th 0.495 0.145 0.655
2 Sm 0.110 0.953 0.080
3 S 0.308 0.552 0.874
4 Te 0.965 0.381 0.361

formation energy (no corrections) = -1.543 eV/atom

---

The following is a DFT calculation (PBE-GGA) of Pm6Dy2Hg after structural relaxation.

a b c (Å): 3.598 10.317 9.646
angles (deg): 122.33 100.78 90.00
Sites, in units of the cell vectors:
1 Pm 0.500 0.290 0.000
2 Dy 0.850 0.350 0.701
3 Hg 0.000 0.000 0.000
4 Pm 0.500 0.710 0.000
5 Pm 0.822 0.661 0.643
6 Pm 0.178 0.017 0.357
7 Pm 0.822 0.983 0.643
8 Dy 0.150 0.650 0.299
9 Pm 0.178 0.339 0.357

ΔH_f (0 K) = 0.00 eV per atom

---

The following is a DFT calculation (PBE-GGA) of K2TcAu after structural relaxation.

a b c (Å): 2.862 4.408 9.993
angles (deg): 90.00 90.00 90.00
Last column: magnetic moment on the atom in μB.
Sites, in units of the cell vectors:
1 Au 0.500 0.500 0.665  0.04
2 K 0.000 0.000 0.910  0.01
3 Tc 0.000 0.000 0.590  0.82
4 K 0.500 0.500 0.335  0.01

relative energy among the computed polymorphs = 11 meV/atom
ΔH_f (0 K) = 0.63 eV per atom

---

The following is a DFT calculation (PBE-GGA) of ScTlPt after structural relaxation.

a b c (Å): 4.617 4.617 4.617
angles (deg): 60.00 60.00 60.00
Sites, in units of the cell vectors:
1 Sc 0.750 0.750 0.750
2 Pt 0.500 0.500 0.500
3 Tl 0.000 0.000 0.000

ΔH_f (0 K) = -0.27 eV per atom

---

| no. | spin magnetization (μB/f.u.) |
| --- | --- |
| 1 | 0.000 |
| 2 | 0.000 |
| 3 | 1.096 |
| 4 | 0.000 |